Record 1
The following is a PBE calculation of a relaxed Sm4GePd crystal, from Alexandria via LeMat-Bulk.

Calculated values
Space-group type: No. 36
DFT total energy, Ry per atom: -0.3796

The structure in extended XYZ format:
```
12
Lattice="2.6678 -10.5116 0.0000 2.6678 10.5116 0.0000 0.0000 0.0000 6.2737" Properties=species:S:1:pos:R:3 pbc="T T T"
Sm 2.6678 9.3305 3.1369
Sm 2.6678 6.3855 1.5022
Sm 2.6678 6.0698 4.5415
Sm 2.6678 2.3668 2.9251
Sm 2.6678 -2.3668 6.0619
Sm 2.6678 -6.0698 1.4046
Sm 2.6678 -6.3855 4.6391
Sm 2.6678 -9.3305 0.0000
Ge 2.6678 3.3337 6.1779
Ge 2.6678 -3.3337 3.0410
Pd 2.6678 8.8813 6.2209
Pd 2.6678 -8.8813 3.0840
```

Record 2
The following is a PBE calculation of a relaxed Sm2Ge3Pd crystal, from Alexandria via LeMat-Bulk.

Calculated values
Space-group type: No. 69
DFT total energy, Ry per atom: -0.4106

The structure in extended XYZ format:
```
12
Lattice="0.0000 4.2516 7.3934 4.1556 0.0000 7.3934 4.1556 4.2516 0.0000" Properties=species:S:1:pos:R:3 pbc="T T T"
Sm 6.2698 4.2516 7.3934
Sm 2.0778 2.1258 3.6967
Sm 6.2334 6.3774 11.0901
Sm 2.0413 4.2516 7.3934
Ge 4.1556 4.2516 2.4841
Ge 4.1556 2.1507 6.1553
Ge 4.1556 2.1507 8.6315
Ge 4.1556 6.3526 6.1553
Ge 4.1556 6.3526 8.6315
Ge 4.1556 4.2516 12.3026
Pd 4.1556 4.2516 4.9246
Pd 4.1556 4.2516 9.8622
```

Record 3
The following is a PBE calculation of a relaxed SmGePd3 crystal, from Alexandria via LeMat-Bulk.

Calculated values
Space-group type: No. 119
ΔE to the lowest computed polymorph, kJ/mol of formula units: 73

The structure in extended XYZ format:
```
10
Lattice="-2.6236 2.6236 8.1291 2.6236 -2.6236 8.1291 2.6236 2.6236 -8.1291" Properties=species:S:1:pos:R:3 pbc="T T T"
Sm 0.0000 0.0000 2.2775
Sm 0.0000 0.0000 13.9806
Ge 2.6236 0.0000 4.0645
Ge 0.0000 0.0000 8.1291
Pd 1.3360 2.6236 -2.0658
Pd 1.2876 0.0000 6.0633
Pd 2.6236 1.3360 2.0658
Pd 0.0000 2.6236 0.5566
Pd 0.0000 1.2876 10.1948
Pd 0.0000 2.6236 7.5724
```

Record 4
The following is a PBE calculation of a relaxed SmGePd2 crystal, from Alexandria via LeMat-Bulk.

Calculated values
Space-group type: No. 62
DFT total energy, Ry per atom: -0.4274

The structure in extended XYZ format:
```
16
Lattice="7.5534 0.0000 0.0000 0.0000 7.1192 0.0000 0.0000 0.0000 5.6929" Properties=species:S:1:pos:R:3 pbc="T T T"
Sm 0.2278 1.7798 0.8323
Sm 3.5489 5.3394 3.6787
Sm 4.0044 1.7798 2.0142
Sm 7.3256 5.3394 4.8606
Ge 0.9143 5.3394 2.0111
Ge 2.8624 1.7798 4.8576
Ge 4.6910 5.3394 0.8353
Ge 6.6391 1.7798 3.6817
Pd 1.3550 0.3708 3.3519
Pd 1.3550 3.1888 3.3519
Pd 2.4216 3.9304 0.5055
Pd 2.4216 6.7483 0.5055
Pd 5.1317 0.3708 5.1874
Pd 5.1317 3.1888 5.1874
Pd 6.1983 3.9304 2.3409
Pd 6.1983 6.7483 2.3409
```

Record 5
The following is a PBE calculation of a relaxed SmGe2Pd crystal, from Alexandria via LeMat-Bulk.

Calculated values
Space-group type: No. 123
DFT total energy, Ry per atom: -0.3926

The structure in extended XYZ format:
```
4
Lattice="4.2963 0.0000 0.0000 0.0000 4.2963 0.0000 0.0000 0.0000 4.2673" Properties=species:S:1:pos:R:3 pbc="T T T"
Sm 0.0000 0.0000 0.0000
Ge 0.0000 2.1481 2.1336
Ge 2.1481 0.0000 2.1336
Pd 2.1481 2.1481 0.0000
```

Record 6
The following is a PBE calculation of a relaxed Sm2Ge7Pd12 crystal, from Alexandria via LeMat-Bulk.

Calculated values
Space-group type: No. 147
DFT total energy, Ry per atom: -0.4148

The structure in extended XYZ format:
```
21
Lattice="10.2891 0.0000 0.0000 -5.1445 8.9106 0.0000 0.0000 0.0000 3.9090" Properties=species:S:1:pos:R:3 pbc="T T T"
Sm 0.0000 5.9404 0.9587
Sm 5.1445 2.9702 2.9503
Ge 0.0000 0.0000 1.9545
Ge -0.8771 3.6354 2.9275
Ge -1.5576 7.8525 2.9275
Ge 2.7098 2.5773 0.9816
Ge 2.4347 6.3333 2.9275
Ge 6.7022 1.0581 0.9816
Ge 6.0216 5.2752 0.9816
Pd -2.5644 5.5204 2.9357
Pd -3.2382 7.6040 0.9646
Pd 0.1784 2.3042 0.9646
Pd 2.0847 0.9976 2.9444
Pd 1.6459 3.9295 2.9357
Pd 4.2260 0.5393 0.9733
Pd 0.9185 8.3713 2.9357
Pd 3.4986 4.9811 0.9733
Pd 3.0599 7.9130 0.9646
Pd 4.9662 6.6064 2.9444
Pd 8.3828 1.3066 2.9444
Pd 7.7090 3.3902 0.9733
```

Record 7
The following is a PBE calculation of a relaxed SmGe2Pd crystal, from Alexandria via LeMat-Bulk.

Calculated values
Space-group type: No. 38
DFT total energy, Ry per atom: -0.3878

The structure in extended XYZ format:
```
4
Lattice="3.9862 0.0000 0.0000 0.0000 3.1669 3.5875 0.0000 -3.1669 3.5875" Properties=species:S:1:pos:R:3 pbc="T T T"
Sm 0.0000 0.0000 0.0000
Ge 1.9931 -1.1945 4.9961
Ge 1.9931 1.1945 4.9961
Pd 1.9931 0.0000 2.7870
```

Record 8
The following is a PBE calculation of a relaxed SmGe2Pd crystal, from Alexandria via LeMat-Bulk.

Calculated values
Space-group type: No. 71
DFT total energy, Ry per atom: -0.4100

The structure in extended XYZ format:
```
16
Lattice="-2.1987 4.4276 8.2833 2.1987 -4.4276 8.2833 2.1987 4.4276 -8.2833" Properties=species:S:1:pos:R:3 pbc="T T T"
Sm 0.0000 0.0000 3.3574
Sm 0.0000 2.1535 0.0000
Sm 0.0000 6.7017 0.0000
Sm 0.0000 0.0000 13.2093
Ge 2.1987 0.0000 1.2259
Ge 2.1987 -1.3231 5.0373
Ge 0.0000 0.0000 7.0340
Ge 2.1987 1.3231 5.0373
Ge 0.0000 3.1044 3.2461
Ge 0.0000 0.0000 9.5327
Ge 0.0000 5.7507 3.2461
Ge 0.0000 4.4276 7.0575
Pd 2.1987 2.2148 -2.4655
Pd 2.1987 2.2148 2.4655
Pd 0.0000 2.2128 5.8179
Pd 0.0000 2.2128 10.7488
```

no.,mass density (g cm⁻³),N(E_F) (states/eV per cell)
1,7.4,12.97
2,7.9,6.11
3,8.0,4.15
4,9.5,7.10
5,8.5,2.54
6,9.7,8.36
7,7.4,2.15
8,8.3,6.11